# MnSiN2F

MnSiN2F after structural relaxation (PBE with a Hubbard U, Alexandria via LeMat-Bulk).

The space group is P4/mmm (No. 123) and the conventional cell measures 3.600, 3.600 and 3.764 Å, with angles of 90.00, 90.00 and 90.00 degrees. Symmetry generates all atoms from Mn at (0.000, 0.000, 0.000), Si at (0.500, 0.500, 0.500), N at (0.000, 0.500, 0.500) and F at (0.500, 0.500, 0.000).

The total energy is -6.83 eV/atom. Its total magnetization is 4.50 μB per formula unit.